The following is a DFT calculation (meta-GGA SCAN) of a crystal of Sn3Ru2 relaxed with PBEsol.

Lattice parameters (Å, degrees): 6.157 6.157 9.883 90.00 90.00 90.00
Space group P-4c2 (No. 116)
One atom of each set of equivalent atoms:
Sn: 0.157 0.279 0.416 x8
Sn: 0.322 0.322 0.750 x4
Ru: 0.000 0.000 0.250 x2
Ru: 0.000 0.500 0.125 x4
Ru: 0.500 0.500 0.000 x2

Summary:
Energy of formation from the pure elements in meV per atom: -161
Magnetization in μB/cell: 0.00